# 1
# PBE Pr2Dy2Te2Se3, optimized geometry
data_Pr2Dy2Te2Se3
_chemical_formula_sum 'Pr4 Dy4 Te4 Se6'
_space_group_name_H-M_alt 'I 4/m m m'
_space_group_IT_number 139
_space_group_name_Hall '-I 4 2'
_cell_length_a 5.6350
_cell_length_b 5.6350
_cell_length_c 16.1953
_cell_angle_alpha 90.00
_cell_angle_beta 90.00
_cell_angle_gamma 90.00
loop_
_atom_site_label
_atom_site_type_symbol
_atom_site_fract_x
_atom_site_fract_y
_atom_site_fract_z
Pr1 Pr 0.0000 0.0000 0.1932
Dy1 Dy 0.0000 0.5000 0.0000
Te1 Te 0.0000 0.0000 0.3953
Se1 Se 0.0000 0.0000 0.0000
Se2 Se 0.0000 0.5000 0.2500
# * final energy: -5.375 eV/atom
# * ΔE_f (raw): -1.430 eV/atom



# 2
# PBE Pr2DyTe2Se2, optimized geometry
data_Pr2DyTe2Se2
_chemical_formula_sum 'Pr4 Dy2 Te4 Se4'
_space_group_name_H-M_alt 'I 4/m m m'
_space_group_IT_number 139
_space_group_name_Hall '-I 4 2'
_cell_length_a 5.3035
_cell_length_b 5.3035
_cell_length_c 16.1262
_cell_angle_alpha 90.00
_cell_angle_beta 90.00
_cell_angle_gamma 90.00
loop_
_atom_site_label
_atom_site_type_symbol
_atom_site_fract_x
_atom_site_fract_y
_atom_site_fract_z
Pr1 Pr 0.0000 0.0000 0.1186
Dy1 Dy 0.0000 0.0000 0.5000
Te1 Te 0.0000 0.0000 0.3139
Se1 Se 0.0000 0.5000 0.0000
# * final energy: -5.280 eV/atom
# * ΔE_f (raw): -1.363 eV/atom



# 3
# PBE PrDyTeSe, optimized geometry
data_PrDyTeSe
_chemical_formula_sum 'Pr3 Dy3 Te3 Se3'
_space_group_name_H-M_alt 'R 3 m'
_space_group_IT_number 160
_space_group_name_Hall 'R 3 -2"'
_cell_length_a 4.1532
_cell_length_b 4.1532
_cell_length_c 22.9961
_cell_angle_alpha 90.00
_cell_angle_beta 90.00
_cell_angle_gamma 120.00
loop_
_atom_site_label
_atom_site_type_symbol
_atom_site_fract_x
_atom_site_fract_y
_atom_site_fract_z
Pr1 Pr 0.0000 0.0000 0.0000
Dy1 Dy 0.0000 0.0000 0.1623
Te1 Te 0.0000 0.0000 0.5762
Se1 Se 0.0000 0.0000 0.7536
# * final energy: -5.533 eV/atom
# * ΔE_f (raw): -1.531 eV/atom



# 4
# PBE PrDy3Th4Se8, optimized geometry
data_PrDy3Th4Se8
_chemical_formula_sum 'Pr3 Dy9 Th12 Se24'
_space_group_name_H-M_alt 'R -3 m'
_space_group_IT_number 166
_space_group_name_Hall '-R 3 2"'
_cell_length_a 8.1645
_cell_length_b 8.1645
_cell_length_c 21.2009
_cell_angle_alpha 90.00
_cell_angle_beta 90.00
_cell_angle_gamma 120.00
loop_
_atom_site_label
_atom_site_type_symbol
_atom_site_fract_x
_atom_site_fract_y
_atom_site_fract_z
Pr1 Pr 0.0000 0.0000 0.0000
Dy1 Dy 0.0000 0.5000 0.0000
Th1 Th 0.0000 0.0000 0.5000
Th2 Th 0.0000 0.5000 0.5000
Se1 Se 0.0000 0.0000 0.2552
Se2 Se 0.0073 0.5036 0.2536
# * final energy: -6.408 eV/atom
# * ΔE_f (raw): -1.649 eV/atom



# 5
# PBE Pr3Dy2ThSe6, optimized geometry
data_Pr3Dy2ThSe6
_chemical_formula_sum 'Pr6 Dy4 Th2 Se12'
_space_group_name_H-M_alt 'C 1 2/m 1'
_space_group_IT_number 12
_space_group_name_Hall '-C 2y'
_cell_length_a 18.2624
_cell_length_b 4.1687
_cell_length_c 8.4458
_cell_angle_alpha 90.00
_cell_angle_beta 103.11
_cell_angle_gamma 90.00
loop_
_atom_site_label
_atom_site_type_symbol
_atom_site_fract_x
_atom_site_fract_y
_atom_site_fract_z
Pr1 Pr 0.0000 0.0000 0.0000
Pr2 Pr 0.1621 0.5000 0.3337
Dy1 Dy 0.1657 0.5000 0.8311
Th1 Th 0.0000 0.0000 0.5000
Se1 Se 0.0058 0.5000 0.7522
Se2 Se 0.1684 0.0000 0.5966
Se3 Se 0.1713 0.0000 0.0742
# * final energy: -6.080 eV/atom
# * ΔE_f (raw): -1.758 eV/atom



# 6
# PBE Pr4DyTh3Se8, optimized geometry
data_Pr4DyTh3Se8
_chemical_formula_sum 'Pr12 Dy3 Th9 Se24'
_space_group_name_H-M_alt 'R -3 m'
_space_group_IT_number 166
_space_group_name_Hall '-R 3 2"'
_cell_length_a 8.4103
_cell_length_b 8.4103
_cell_length_c 20.7942
_cell_angle_alpha 90.00
_cell_angle_beta 90.00
_cell_angle_gamma 120.00
loop_
_atom_site_label
_atom_site_type_symbol
_atom_site_fract_x
_atom_site_fract_y
_atom_site_fract_z
Pr1 Pr 0.0000 0.0000 0.0000
Pr2 Pr 0.0000 0.5000 0.0000
Dy1 Dy 0.0000 0.0000 0.5000
Th1 Th 0.0000 0.5000 0.5000
Se1 Se 0.0000 0.0000 0.2495
Se2 Se 0.0064 0.5032 0.2474
# * final energy: -6.327 eV/atom
# * ΔE_f (raw): -1.711 eV/atom